(1)
# Nb4PAuC2

An optimized crystal structure of Nb4PAuC2 (GGA-PBE, OQMD).

Calculated values
Calculated total energy in eV/atom: -9.012

Cell lengths 3.2614, 3.2614, 12.6545 Å; angles 90.00, 90.00, 120.00 degrees
Positions (direct):
Nb: 0.0000 0.0000 0.1372
Nb: 0.0000 0.0000 0.8628
Nb: 0.6667 0.3333 0.3225
Nb: 0.6667 0.3333 0.6775
P: 0.6667 0.3333 0.0000
Au: 0.0000 0.0000 0.5000
C: 0.3333 0.6667 0.2357
C: 0.3333 0.6667 0.7643

(2)
# Sc4Nb2Au3C3

An optimized crystal structure of Sc4Nb2Au3C3 (GGA-PBE, OQMD).

Calculated values
Calculated total energy in eV/atom: -7.466

Cell lengths 5.6834, 5.6834, 14.3155 Å; angles 101.38, 101.38, 60.23 degrees
Positions (direct):
Sc: 0.0405 0.1879 0.0944
Sc: 0.1264 0.3024 0.4056
Sc: 0.1879 0.0405 0.5944
Sc: 0.3024 0.1264 0.9056
Sc: 0.6976 0.8736 0.0944
Sc: 0.8121 0.9595 0.4056
Sc: 0.8736 0.6976 0.5944
Sc: 0.9595 0.8121 0.9056
Nb: 0.3490 0.5272 0.0785
Nb: 0.4728 0.6510 0.4215
Nb: 0.5272 0.3490 0.5785
Nb: 0.6510 0.4728 0.9215
Au: 0.1131 0.8869 0.2500
Au: 0.2748 0.4186 0.7499
Au: 0.4186 0.2748 0.2499
Au: 0.5814 0.7252 0.7501
Au: 0.7252 0.5814 0.2501
Au: 0.8869 0.1131 0.7500
C: 0.0000 0.5000 0.0000
C: 0.1871 0.6566 0.5003
C: 0.3434 0.8129 0.9997
C: 0.5000 0.0000 0.5000
C: 0.6566 0.1871 0.0003
C: 0.8129 0.3434 0.4997